Entry 1:
VASP calculation (PBE-GGA) on a relaxed structure of Cd4AgPd2.

```
Cd4AgPd2
1.0
-2.089 5.100 -1.375
-3.588 -2.429 3.673
5.182 0.766 2.198
Ag Pd Cd
1 2 4
Direct
0.000 0.000 0.000
0.500 0.000 0.500
0.500 0.500 0.000
0.000 0.000 0.500
0.500 0.500 0.500
0.500 0.000 0.000
0.000 0.500 0.000
```

Properties
The calculation puts the offset from the most stable computed form at 0.0 kJ/mol of atoms. The space group is I4/mmm (139).

Entry 2:
VASP calculation (PBE-GGA) on a relaxed structure of Cd7Ag12Pd.

```
Cd7Ag12Pd
1.0
-6.707 -1.038 -3.808
2.171 -6.937 2.779
-1.505 4.567 6.119
Ag Cd Pd
12 7 1
Direct
0.586 0.966 0.692
0.665 0.370 0.233
0.308 0.414 0.034
0.692 0.586 0.966
0.335 0.630 0.767
0.414 0.034 0.308
0.370 0.233 0.665
0.767 0.335 0.630
0.233 0.665 0.370
0.966 0.692 0.586
0.034 0.308 0.414
0.630 0.767 0.335
0.323 0.025 0.904
0.904 0.323 0.025
0.975 0.096 0.677
0.025 0.904 0.323
0.500 0.500 0.500
0.096 0.677 0.975
0.677 0.975 0.096
0.000 0.000 0.000
```

Properties
The space group is R-3 (148). For the energy, the calculation gives -2.289 eV/atom.

Entry 3:
VASP calculation (PBE-GGA) on a relaxed structure of CdAgPd2.

```
CdAgPd2
1.0
-0.877 -0.585 -2.752
-0.611 -2.772 -0.794
-9.137 0.068 1.320
Pd Ag Cd
2 1 1
Direct
0.251 0.251 0.247
0.749 0.749 0.753
0.500 0.500 0.500
0.000 0.000 0.000
```

Properties
The space group is R-3m (166). For the energy, the calculation gives -3.685 eV/atom.